The following is a DFT calculation (PBE) of crystalline Yb3Se4 at its relaxed geometry.

## Properties
The symmetry is Pnma. For the distance to the lowest polymorph of the same formula, the calculation gives 0 meV per atom. The calculation puts the uncorrected formation energy at -1.687 eV per atom. Its total energy is -4.332 eV/atom.

Unit cell a=4.0282 b=13.5830 c=13.5424 alpha=90.00 beta=90.00 gamma=90.00
With the nearest neighbours (Å) after each atom.
Fractional positions:
Se 0.7500 0.5201 0.7520  5 Yb 2.88-2.96
Se 0.7500 0.9799 0.2520  5 Yb 2.88-2.96
Se 0.7500 0.1120 0.9742  5 Yb 2.88-3.02
Se 0.2500 0.7665 0.7856  5 Yb 2.88-3.07
Se 0.2500 0.1194 0.4647  4 Yb 2.83-2.89
Yb 0.7500 0.5843 0.3690  7 Se 2.95-3.07
Se 0.7500 0.3880 0.4742  5 Yb 2.88-3.02
Se 0.2500 0.6120 0.5258  5 Yb 2.88-3.02
Yb 0.2500 0.2961 0.3533  6 Se 2.83-2.88
Yb 0.2500 0.2039 0.8533  6 Se 2.83-2.88
Yb 0.7500 0.9157 0.8690  7 Se 2.95-3.07
Se 0.2500 0.7335 0.2856  5 Yb 2.88-3.07
Yb 0.2500 0.9192 0.3931  6 Se 2.84-2.91
Se 0.2500 0.4799 0.2480  5 Yb 2.88-2.96
Yb 0.7500 0.7039 0.6467  6 Se 2.83-2.88
Se 0.7500 0.6194 0.0353  4 Yb 2.83-2.89
Yb 0.7500 0.0808 0.6069  6 Se 2.84-2.91
Se 0.7500 0.2665 0.7144  5 Yb 2.88-3.07
Yb 0.2500 0.0843 0.1310  7 Se 2.95-3.07
Se 0.7500 0.8806 0.5353  4 Yb 2.83-2.89
Se 0.2500 0.8880 0.0258  5 Yb 2.88-3.02
Yb 0.7500 0.7961 0.1467  6 Se 2.83-2.88
Se 0.2500 0.3806 0.9647  4 Yb 2.83-2.89
Yb 0.7500 0.4192 0.1069  6 Se 2.84-2.91
Yb 0.2500 0.4157 0.6310  7 Se 2.95-3.07
Se 0.2500 0.0201 0.7480  5 Yb 2.88-2.96
Yb 0.2500 0.5808 0.8931  6 Se 2.84-2.91
Se 0.7500 0.2335 0.2144  5 Yb 2.88-3.07